Computed, not measured: a PBEsol-optimized structure of CoNi3 at the SCAN level of DFT.

CIF file:
```
data_CoNi3
_cell_length_a 3.459
_cell_length_b 3.459
_cell_length_c 3.459
_cell_angle_alpha 90.00
_cell_angle_beta 90.00
_cell_angle_gamma 90.00
_symmetry_space_group_name_H-M 'P 1'
_symmetry_Int_Tables_number 1
_symmetry_space_group_name_Hall 'P 1'
loop_
_atom_site_label
_atom_site_type_symbol
_atom_site_fract_x
_atom_site_fract_y
_atom_site_fract_z
Co1 Co 0.000 0.000 0.000
Ni1 Ni 0.000 0.500 0.500
Ni2 Ni 0.500 0.000 0.500
Ni3 Ni 0.500 0.500 0.000
```

Results
Total energy in eV/cell: -65.75
SG: No. 221

Computed, not measured: a PBEsol-optimized structure of Co5Ni at the SCAN level of DFT.

CIF file:
```
data_Co5Ni
_cell_length_a 4.252
_cell_length_b 4.252
_cell_length_c 3.955
_cell_angle_alpha 90.00
_cell_angle_beta 90.00
_cell_angle_gamma 120.00
_symmetry_space_group_name_H-M 'P 1'
_symmetry_Int_Tables_number 1
_symmetry_space_group_name_Hall 'P 1'
loop_
_atom_site_label
_atom_site_type_symbol
_atom_site_fract_x
_atom_site_fract_y
_atom_site_fract_z
Co1 Co 0.000 0.666 0.000
Co2 Co 0.333 0.667 0.500
Co3 Co 0.334 0.334 0.000
Co4 Co 0.666 0.000 0.000
Co5 Co 0.667 0.333 0.500
Ni1 Ni 0.000 0.000 0.500
```

Results
Total energy in eV/cell: -102.53
SG: No. 189

Computed, not measured: a PBEsol-optimized structure of Co3Ni at the SCAN level of DFT.

CIF file:
```
data_Co3Ni
_cell_length_a 3.459
_cell_length_b 3.459
_cell_length_c 3.459
_cell_angle_alpha 90.00
_cell_angle_beta 90.00
_cell_angle_gamma 90.00
_symmetry_space_group_name_H-M 'P 1'
_symmetry_Int_Tables_number 1
_symmetry_space_group_name_Hall 'P 1'
loop_
_atom_site_label
_atom_site_type_symbol
_atom_site_fract_x
_atom_site_fract_y
_atom_site_fract_z
Co1 Co 0.000 0.000 0.500
Co2 Co 0.000 0.500 0.000
Co3 Co 0.500 0.000 0.000
Ni1 Ni 0.500 0.500 0.500
```

Results
Total energy in eV/cell: -68.09
SG: No. 221

Computed, not measured: a PBEsol-optimized structure of Co7Ni at the SCAN level of DFT.

CIF file:
```
data_Co7Ni
_cell_length_a 4.899
_cell_length_b 4.899
_cell_length_c 4.899
_cell_angle_alpha 60.00
_cell_angle_beta 60.00
_cell_angle_gamma 60.00
_symmetry_space_group_name_H-M 'P 1'
_symmetry_Int_Tables_number 1
_symmetry_space_group_name_Hall 'P 1'
loop_
_atom_site_label
_atom_site_type_symbol
_atom_site_fract_x
_atom_site_fract_y
_atom_site_fract_z
Co1 Co 0.000 0.000 0.000
Co2 Co 0.000 0.000 0.500
Co3 Co 0.000 0.500 0.000
Co4 Co 0.000 0.500 0.500
Co5 Co 0.500 0.000 0.000
Co6 Co 0.500 0.000 0.500
Co7 Co 0.500 0.500 0.000
Ni1 Ni 0.500 0.500 0.500
```

Results
Total energy in eV/cell: -137.19
SG: No. 225

Computed, not measured: a PBEsol-optimized structure of CoNi2 at the SCAN level of DFT.

CIF file:
```
data_CoNi2
_cell_length_a 6.713
_cell_length_b 6.713
_cell_length_c 2.411
_cell_angle_alpha 90.00
_cell_angle_beta 90.00
_cell_angle_gamma 120.00
_symmetry_space_group_name_H-M 'P 1'
_symmetry_Int_Tables_number 1
_symmetry_space_group_name_Hall 'P 1'
loop_
_atom_site_label
_atom_site_type_symbol
_atom_site_fract_x
_atom_site_fract_y
_atom_site_fract_z
Co1 Co 0.000 0.000 0.000
Co2 Co 0.333 0.667 0.500
Co3 Co 0.667 0.333 0.500
Ni1 Ni 0.000 0.305 0.500
Ni2 Ni 0.000 0.640 0.000
Ni3 Ni 0.305 0.000 0.500
Ni4 Ni 0.360 0.360 0.000
Ni5 Ni 0.640 0.000 0.000
Ni6 Ni 0.695 0.695 0.500
```

Results
Total energy in eV/cell: -148.48
SG: No. 189

Computed, not measured: a PBEsol-optimized structure of Co5Ni4 at the SCAN level of DFT.

CIF file:
```
data_Co5Ni4
_cell_length_a 5.466
_cell_length_b 5.466
_cell_length_c 5.466
_cell_angle_alpha 95.76
_cell_angle_beta 95.76
_cell_angle_gamma 143.07
_symmetry_space_group_name_H-M 'P 1'
_symmetry_Int_Tables_number 1
_symmetry_space_group_name_Hall 'P 1'
loop_
_atom_site_label
_atom_site_type_symbol
_atom_site_fract_x
_atom_site_fract_y
_atom_site_fract_z
Co1 Co 0.000 0.000 0.000
Co2 Co 0.334 0.334 0.668
Co3 Co 0.334 0.666 0.000
Co4 Co 0.666 0.334 0.000
Co5 Co 0.666 0.666 0.332
Ni1 Ni 0.000 0.332 0.332
Ni2 Ni 0.000 0.668 0.668
Ni3 Ni 0.332 0.000 0.332
Ni4 Ni 0.668 0.000 0.668
```

Results
Total energy in eV/cell: -151.12
SG: No. 139

Computed, not measured: a PBEsol-optimized structure of Co3Ni at the SCAN level of DFT.

CIF file:
```
data_Co3Ni
_cell_length_a 8.135
_cell_length_b 8.135
_cell_length_c 8.135
_cell_angle_alpha 17.28
_cell_angle_beta 17.28
_cell_angle_gamma 17.28
_symmetry_space_group_name_H-M 'P 1'
_symmetry_Int_Tables_number 1
_symmetry_space_group_name_Hall 'P 1'
loop_
_atom_site_label
_atom_site_type_symbol
_atom_site_fract_x
_atom_site_fract_y
_atom_site_fract_z
Co1 Co 0.000 0.000 0.000
Co2 Co 0.251 0.251 0.251
Co3 Co 0.749 0.749 0.749
Ni1 Ni 0.500 0.500 0.500
```

Results
Total energy in eV/cell: -67.99
SG: No. 166

Computed, not measured: a PBEsol-optimized structure of CoNi3 at the SCAN level of DFT.

CIF file:
```
data_CoNi3
_cell_length_a 4.907
_cell_length_b 4.907
_cell_length_c 3.988
_cell_angle_alpha 90.00
_cell_angle_beta 90.00
_cell_angle_gamma 120.00
_symmetry_space_group_name_H-M 'P 1'
_symmetry_Int_Tables_number 1
_symmetry_space_group_name_Hall 'P 1'
loop_
_atom_site_label
_atom_site_type_symbol
_atom_site_fract_x
_atom_site_fract_y
_atom_site_fract_z
Co1 Co 0.333 0.667 0.250
Co2 Co 0.667 0.333 0.750
Ni1 Ni 0.167 0.335 0.750
Ni2 Ni 0.167 0.833 0.750
Ni3 Ni 0.335 0.167 0.250
Ni4 Ni 0.665 0.833 0.750
Ni5 Ni 0.833 0.167 0.250
Ni6 Ni 0.833 0.665 0.250
```

Results
Total energy in eV/cell: -131.39
SG: No. 194

Computed, not measured: a PBEsol-optimized structure of CoNi5 at the SCAN level of DFT.

CIF file:
```
data_CoNi5
_cell_length_a 4.001
_cell_length_b 6.491
_cell_length_c 6.491
_cell_angle_alpha 21.66
_cell_angle_beta 90.00
_cell_angle_gamma 90.00
_symmetry_space_group_name_H-M 'P 1'
_symmetry_Int_Tables_number 1
_symmetry_space_group_name_Hall 'P 1'
loop_
_atom_site_label
_atom_site_type_symbol
_atom_site_fract_x
_atom_site_fract_y
_atom_site_fract_z
Co1 Co 0.000 0.000 0.000
Ni1 Ni 0.000 0.334 0.334
Ni2 Ni 0.000 0.665 0.665
Ni3 Ni 0.500 0.110 0.110
Ni4 Ni 0.500 0.443 0.443
Ni5 Ni 0.500 0.776 0.776
```

Results
Total energy in eV/cell: -97.97
SG: No. 38

Computed, not measured: a PBEsol-optimized structure of Co3Ni at the SCAN level of DFT.

CIF file:
```
data_Co3Ni
_cell_length_a 2.444
_cell_length_b 3.962
_cell_length_c 4.268
_cell_angle_alpha 90.00
_cell_angle_beta 90.00
_cell_angle_gamma 90.00
_symmetry_space_group_name_H-M 'P 1'
_symmetry_Int_Tables_number 1
_symmetry_space_group_name_Hall 'P 1'
loop_
_atom_site_label
_atom_site_type_symbol
_atom_site_fract_x
_atom_site_fract_y
_atom_site_fract_z
Co1 Co 0.000 0.000 0.000
Co2 Co 0.000 0.500 0.330
Co3 Co 0.500 0.000 0.500
Ni1 Ni 0.500 0.500 0.833
```

Results
Total energy in eV/cell: -68.03
SG: No. 25

Computed, not measured: a PBEsol-optimized structure of Co3Ni at the SCAN level of DFT.

CIF file:
```
data_Co3Ni
_cell_length_a 4.236
_cell_length_b 4.236
_cell_length_c 4.248
_cell_angle_alpha 99.50
_cell_angle_beta 99.50
_cell_angle_gamma 33.49
_symmetry_space_group_name_H-M 'P 1'
_symmetry_Int_Tables_number 1
_symmetry_space_group_name_Hall 'P 1'
loop_
_atom_site_label
_atom_site_type_symbol
_atom_site_fract_x
_atom_site_fract_y
_atom_site_fract_z
Co1 Co 0.000 0.000 0.000
Co2 Co 0.251 0.251 0.752
Co3 Co 0.749 0.749 0.248
Ni1 Ni 0.500 0.500 0.500
```

Results
Total energy in eV/cell: -67.96
SG: No. 12

Computed, not measured: a PBEsol-optimized structure of Co3Ni at the SCAN level of DFT.

CIF file:
```
data_Co3Ni
_cell_length_a 2.438
_cell_length_b 2.438
_cell_length_c 6.967
_cell_angle_alpha 90.00
_cell_angle_beta 90.00
_cell_angle_gamma 90.00
_symmetry_space_group_name_H-M 'P 1'
_symmetry_Int_Tables_number 1
_symmetry_space_group_name_Hall 'P 1'
loop_
_atom_site_label
_atom_site_type_symbol
_atom_site_fract_x
_atom_site_fract_y
_atom_site_fract_z
Co1 Co 0.000 0.000 0.000
Co2 Co 0.500 0.500 0.248
Co3 Co 0.500 0.500 0.752
Ni1 Ni 0.000 0.000 0.500
```

Results
Total energy in eV/cell: -68.04
SG: No. 123